# Zr3SnRu | Alexandria | SCAN | single point on PBEsol structure
# **Symmetry**: Pm-3m
# **DFT total energy**: -1.148 Ha/atom
# **DFT formation energy**: 1324 meV/atom
data_Zr3SnRu
_cell_length_a 5.130
_cell_length_b 5.130
_cell_length_c 5.130
_cell_angle_alpha 90.00
_cell_angle_beta 90.00
_cell_angle_gamma 90.00
_space_group_name_H-M_alt 'P 1'
_space_group_IT_number 1
_space_group_name_Hall 'P 1'
loop_
_atom_site_label
_atom_site_fract_x
_atom_site_fract_y
_atom_site_fract_z
Zr1 0.000 0.500 0.000
Zr2 0.500 0.000 0.000
Zr3 0.000 0.000 0.500
Ru1 0.500 0.500 0.500
Sn1 0.000 0.000 0.000

# Sr3Ru | Alexandria | SCAN | single point on PBEsol structure
# **Symmetry**: Imm2
# **DFT total energy**: -0.920 Ha/atom
# **DFT formation energy**: 378 meV/atom
data_Sr3Ru
_cell_length_a 3.963
_cell_length_b 6.634
_cell_length_c 6.634
_cell_angle_alpha 62.35
_cell_angle_beta 72.62
_cell_angle_gamma 72.62
_space_group_name_H-M_alt 'P 1'
_space_group_IT_number 1
_space_group_name_Hall 'P 1'
loop_
_atom_site_label
_atom_site_fract_x
_atom_site_fract_y
_atom_site_fract_z
Sr1 0.324 0.053 0.299
Sr2 0.676 0.701 0.947
Sr3 0.500 0.360 0.640
Ru1 0.000 0.053 0.947